1.
A relaxed MgMo3 crystal, computed with GGA-PBE.

Output
**Energy relative to the elements**: 0.3145 eV per atom
**Space group**: Cmcm, No. 63
**Distance to the lowest polymorph of the same formula**: 0.159 eV per atom

Cell lengths 5.587, 5.587, 4.406 Å; angles 90.00, 90.00, 106.42 degrees
Fractional positions:
Mo1 0.109 0.335 0.250
Mo2 0.665 0.891 0.250
Mo3 0.335 0.109 0.750
Mo4 0.891 0.665 0.750
Mo5 0.140 0.860 0.250
Mo6 0.860 0.140 0.750
Mg1 0.378 0.622 0.750
Mg2 0.622 0.378 0.250

2.
A relaxed Mg3MoN4 crystal, computed with GGA-PBE.

Output
**Space group**: P-1, No. 2
**ΔE_f (raw)**: -0.71 eV per atom
**Distance to the lowest polymorph of the same formula**: 0.103 eV per atom

Cell lengths 5.346, 6.142, 6.244 Å; angles 60.34, 74.54, 72.74 degrees
Fractional positions:
N1 0.998 0.774 0.498
N2 0.990 0.246 0.013
N3 0.474 0.994 0.752
N4 0.010 0.754 0.987
N5 0.002 0.226 0.502
N6 0.477 0.527 0.737
N7 0.523 0.473 0.263
N8 0.526 0.006 0.248
Mg1 0.266 0.862 0.149
Mg2 0.748 0.634 0.862
Mg3 0.252 0.366 0.138
Mg4 0.734 0.138 0.851
Mg5 0.759 0.619 0.378
Mg6 0.241 0.381 0.622
Mo1 0.761 0.145 0.314
Mo2 0.239 0.855 0.686

3.
A relaxed Mg2MoN2 crystal, computed with GGA-PBE.

Output
**Space group**: I4/mmm, No. 139
**ΔE_f (raw)**: 0.65 eV per atom
**Distance to the lowest polymorph of the same formula**: 0.000 eV per atom

Cell lengths 3.927, 3.927, 4.759 Å; angles 65.63, 65.63, 90.00 degrees
Fractional positions:
N1 0.750 0.250 0.500
N2 0.250 0.750 0.500
Mg1 0.334 0.334 0.332
Mg2 0.666 0.666 0.668
Mo1 0.000 0.000 0.000

Repeat the first record exactly.
A relaxed MgMo3 crystal, computed with GGA-PBE.

Output
**Energy relative to the elements**: 0.3145 eV per atom
**Space group**: Cmcm, No. 63
**Distance to the lowest polymorph of the same formula**: 0.159 eV per atom

Cell lengths 5.587, 5.587, 4.406 Å; angles 90.00, 90.00, 106.42 degrees
Fractional positions:
Mo1 0.109 0.335 0.250
Mo2 0.665 0.891 0.250
Mo3 0.335 0.109 0.750
Mo4 0.891 0.665 0.750
Mo5 0.140 0.860 0.250
Mo6 0.860 0.140 0.750
Mg1 0.378 0.622 0.750
Mg2 0.622 0.378 0.250

- The lowest distance to the lowest polymorph of the same formula belongs to which entry?
  Mg2MoN2